# 1
The following is a DFT calculation (GGA-PBE) of a relaxed structure of Na3Er3MoS8.

a = 7.6974 Å, b = 7.6984 Å, c = 8.1066 Å
α = 118.35°, β = 90.00°, γ = 120.00°
Positions (direct):
S 0.2255 0.4511 0.7119
S 0.2388 0.0133 0.2881
S 0.2577 0.5155 0.2735
Na 0.0000 0.0000 0.0000
S 0.7612 0.9867 0.7119
Na 0.0000 0.5000 0.0000
Er 0.5000 0.0000 0.5000
Mo 0.0000 0.0000 0.5000
S 0.2255 0.9867 0.7119
Na 0.5000 0.5000 0.0000
S 0.7423 0.4845 0.7265
Er 0.5000 0.5000 0.5000
S 0.7745 0.0133 0.2881
Er 0.0000 0.5000 0.5000
S 0.7745 0.5489 0.2881

Calculated values
The space group is R-3m. The calculation puts the total DFT energy (no corrections) at -5.624 eV per atom.



# 2
The following is a DFT calculation (GGA-PBE) of a relaxed structure of ErNbMo4.

a = 5.3806 Å, b = 5.3806 Å, c = 5.3806 Å
α = 60.00°, β = 60.00°, γ = 60.00°
Positions (direct):
Mo 0.6252 0.6252 0.6252
Mo 0.1244 0.6252 0.6252
Er 0.2500 0.2500 0.2500
Mo 0.6252 0.6252 0.1244
Mo 0.6252 0.1244 0.6252
Nb 0.0000 0.0000 0.0000

Calculated values
The space group is F-43m. As for the formation energy: 0.042 eV per atom.



# 3
The following is a DFT calculation (GGA-PBE) of a relaxed structure of ErNbMo.

a = 4.9446 Å, b = 5.7339 Å, c = 10.4562 Å
α = 84.15°, β = 76.32°, γ = 64.46°
Positions (direct):
Er 0.5976 0.8049 0.5000
Mo 0.1250 0.0000 0.7499
Nb 0.3384 0.5000 0.3233
Er 0.1524 0.6951 0.0000
Nb 0.1616 0.5000 0.6767
Nb 0.4116 0.0000 0.1767
Mo 0.8750 0.5000 0.2499
Er 0.9024 0.1951 0.5000
Mo 0.6250 0.5000 0.7501
Nb 0.5884 0.0000 0.8233
Mo 0.8750 0.0000 0.2501
Er 0.8476 0.3049 0.0000

Calculated values
The space group is Fddd. As for the formation energy: 0.274 eV per atom.



# 4
The following is a DFT calculation (GGA-PBE) of a relaxed structure of NdErMo.

a = 5.6694 Å, b = 4.6493 Å, c = 8.4264 Å
α = 78.16°, β = 70.34°, γ = 52.43°
Positions (direct):
Er 0.5919 0.0000 0.8161
Nd 0.7500 0.5000 0.5000
Mo 0.1559 0.6881 0.0000
Nd 0.2500 0.5000 0.5000
Mo 0.8441 0.3119 0.0000
Er 0.4081 0.0000 0.1839

Calculated values
The space group is Fmmm. As for the formation energy: 0.701 eV per atom.



# 5
The following is a DFT calculation (GGA-PBE) of a relaxed structure of ErNi4Mo.

a = 4.8971 Å, b = 4.8971 Å, c = 4.8971 Å
α = 60.00°, β = 60.00°, γ = 60.00°
Positions (direct):
Er 0.0000 0.0000 0.0000
Ni 0.6242 0.6242 0.6242
Ni 0.6242 0.6242 0.1273
Ni 0.6242 0.1273 0.6242
Mo 0.2500 0.2500 0.2500
Ni 0.1273 0.6242 0.6242

Calculated values
The space group is F-43m. As for the formation energy: -0.094 eV per atom.